(1)
Material: BaHoS2
Method: DFT, GGA-PBE
State: optimized geometry

The calculated density is 5.8 Mg/m³. Its final energy is -5.63 eV per atom.

It has space group R3m (No. 160, hexagonal axes), with a = 4.0355 Å, b = 4.0355 Å, c = 22.2649 Å, α = 90.00°, β = 90.00° and γ = 120.00°. The inequivalent atoms are Ba at (0.0000, 0.0000, 0.0000), Ho at (0.0000, 0.0000, 0.8268), S at (0.0000, 0.0000, 0.2306) and S at (0.0000, 0.0000, 0.4271).

(2)
Material: Ba4MgTlCd2
Method: DFT, GGA-PBE
State: optimized geometry

Its formation energy from the elements is -0.28 eV per atom. The calculated density is 5.3 Mg/m³. Its final energy is -1.96 eV per atom.

It has space group R-3m (No. 166, hexagonal axes), with a = 6.0710 Å, b = 6.0710 Å, c = 29.7380 Å, α = 90.00°, β = 90.00° and γ = 120.00°. The inequivalent atoms are Ba at (0.0000, 0.0000, 0.1229), Ba at (0.0000, 0.0000, 0.3731), Mg at (0.0000, 0.0000, 0.5000), Tl at (0.0000, 0.0000, 0.0000) and Cd at (0.0000, 0.0000, 0.2472).

(3)
Material: Y4CrCl
Method: DFT, GGA-PBE
State: optimized geometry

The calculated density is 3.9 Mg/m³. Its final energy is -5.59 eV per atom.

It has space group F-43m (No. 216), with a = 9.136 Å, b = 9.136 Å, c = 9.136 Å, α = 90.00°, β = 90.00° and γ = 90.00°. The inequivalent atoms are Y at (0.123, 0.123, 0.377), Cr at (0.250, 0.250, 0.750) and Cl at (0.000, 0.000, 0.000).

(4)
Material: NpUTc2
Method: DFT, GGA-PBE
State: optimized geometry

Its formation energy from the elements is 0.03 eV per atom. The calculated density is 16.1 Mg/m³. Its final energy is -11.21 eV per atom.

It has space group F-43m (No. 216), with a = 6.522 Å, b = 6.522 Å, c = 6.522 Å, α = 90.00°, β = 90.00° and γ = 90.00°. The inequivalent atoms are Np at (0.000, 0.000, 0.000), U at (0.250, 0.250, 0.750), Tc at (0.000, 0.000, 0.500) and Tc at (0.250, 0.250, 0.250).

(5)
Material: Ir5Os3
Method: DFT, GGA-PBE
State: optimized geometry

Its formation energy from the elements is 0.59 eV per atom. The calculated density is 20.7 Mg/m³. Its final energy is -9.15 eV per atom.

It has space group P6_3/mcm (No. 193), with a = 7.6010 Å, b = 7.6010 Å, c = 4.9040 Å, α = 90.00°, β = 90.00° and γ = 120.00°. The inequivalent atoms are Ir at (0.0000, 0.2050, 0.2500), Ir at (0.3333, 0.6667, 0.0000) and Os at (0.0000, 0.4101, 0.7500).

(6)
Material: CuW2
Method: DFT, GGA-PBE
State: optimized geometry

Its formation energy from the elements is 0.61 eV per atom. The calculated density is 14.8 Mg/m³. Its final energy is -9.39 eV per atom.

It has space group P-3m1 (No. 164), with a = 3.0911 Å, b = 3.0911 Å, c = 5.8566 Å, α = 90.00°, β = 90.00° and γ = 120.00°. The inequivalent atoms are Cu at (0.0000, 0.0000, 0.0000) and W at (0.3333, 0.6667, 0.3440).

(7)
Material: BeNiPb4
Method: DFT, GGA-PBE
State: optimized geometry

Its formation energy from the elements is 1.03 eV per atom. The calculated density is 8.4 Mg/m³. Its final energy is -3.03 eV per atom.

It has space group F-43m (No. 216), with a = 8.903 Å, b = 8.903 Å, c = 8.903 Å, α = 90.00°, β = 90.00° and γ = 90.00°. The inequivalent atoms are Be at (0.000, 0.000, 0.000), Ni at (0.250, 0.250, 0.750) and Pb at (0.125, 0.125, 0.375).

(8)
Material: BiSbAsAu
Method: DFT, GGA-PBE
State: optimized geometry

The calculated density is 8.1 Mg/m³. Its final energy is -3.89 eV per atom.

It has space group Amm2 (No. 38), with a = 5.894 Å, b = 4.820 Å, c = 8.659 Å, α = 90.00°, β = 90.00° and γ = 90.00°. The inequivalent atoms are Bi at (0.000, 0.000, 0.000), Sb at (0.500, 0.000, 0.329), As at (0.500, 0.000, 0.998) and Au at (0.000, 0.000, 0.328).